(1)
Computed, not measured: a geometry-optimized YZn2Re structure at the PBE-GGA level of DFT.

## Properties
Offset from the most stable computed form in meV/atom: 100
Spin magnetization in μB/atom: 0.000
Formation enthalpy at 0 K in eV per atom: 0.171

abc: 9.400 2.965 5.352
angles: 90.00 100.40 90.00
Space group C2/m (No. 12)
Unique sites:
Y 0.000 0.000 0.000
Zn 0.237 0.000 0.694
Re 0.000 0.500 0.500

***

(2)
Computed, not measured: a geometry-optimized YZn2Re structure at the PBE-GGA level of DFT.

## Properties
Offset from the most stable computed form in meV/atom: 181
Spin magnetization in μB/atom: 0.089
Formation enthalpy at 0 K in eV per atom: 0.252

abc: 4.031 4.031 8.858
angles: 90.00 90.00 90.00
Space group I-4m2 (No. 119)
Unique sites:
Y 0.000 0.000 0.000
Zn 0.000 0.000 0.500
Zn 0.000 0.500 0.750
Re 0.000 0.500 0.250

***

(3)
Computed, not measured: a geometry-optimized YZn2Re structure at the PBE-GGA level of DFT.

## Properties
Offset from the most stable computed form in meV/atom: 110
Spin magnetization in μB/atom: 0.000
Formation enthalpy at 0 K in eV per atom: 0.181

abc: 4.277 2.928 11.308
angles: 90.00 90.00 90.00
Space group Amm2 (No. 38)
Unique sites:
Y 0.000 0.000 0.000
Zn 0.000 0.000 0.753
Zn 0.500 0.000 0.636
Re 0.500 0.000 0.349

***

The evaluated total energy for the records listed, in turn: -5.194; -5.113; -5.184 eV/atom.
The evaluated calculated volume for the records listed, in turn: 18.34; 17.99; 17.70 Å³/atom.